Density functional theory data (GGA-PBE) for an optimized crystal structure of Nb2In2H.

The structure in CIF format:
```
data_Nb2In2H
_cell_length_a 3.688
_cell_length_b 3.688
_cell_length_c 15.408
_cell_angle_alpha 90.00
_cell_angle_beta 90.00
_cell_angle_gamma 90.00
_symmetry_space_group_name_H-M 'I 4/m m m'
_symmetry_Int_Tables_number 139
_symmetry_space_group_name_Hall '-I 4 2'
loop_
_atom_site_label
_atom_site_fract_x
_atom_site_fract_y
_atom_site_fract_z
Nb1 0.000 0.500 0.250
In1 0.000 0.000 0.090
H1 0.000 0.000 0.500
```

Its total energy is -5.08 eV/atom. The calculated volume comes out at 105 Å³/f.u. The value obtained for the total magnetization is 0.00 μB per formula unit.


Density functional theory data (GGA-PBE) for an optimized crystal structure of Nb2InH2.

The structure in CIF format:
```
data_Nb2InH2
_cell_length_a 3.640
_cell_length_b 3.640
_cell_length_c 9.501
_cell_angle_alpha 90.00
_cell_angle_beta 90.00
_cell_angle_gamma 90.00
_symmetry_space_group_name_H-M 'I 4/m m m'
_symmetry_Int_Tables_number 139
_symmetry_space_group_name_Hall '-I 4 2'
loop_
_atom_site_label
_atom_site_fract_x
_atom_site_fract_y
_atom_site_fract_z
Nb1 0.000 0.000 0.168
In1 0.000 0.000 0.500
H1 0.000 0.500 0.250
```

Its total energy is -6.05 eV/atom. The calculated volume comes out at 63 Å³/f.u. The value obtained for the total magnetization is 0.00 μB per formula unit.


Density functional theory data (GGA-PBE) for an optimized crystal structure of NbInH.

The structure in CIF format:
```
data_NbInH
_cell_length_a 2.922
_cell_length_b 2.922
_cell_length_c 10.543
_cell_angle_alpha 90.00
_cell_angle_beta 90.00
_cell_angle_gamma 90.00
_symmetry_space_group_name_H-M 'I 4 m m'
_symmetry_Int_Tables_number 107
_symmetry_space_group_name_Hall 'I 4 -2'
loop_
_atom_site_label
_atom_site_fract_x
_atom_site_fract_y
_atom_site_fract_z
Nb1 0.000 0.000 0.000
In1 0.000 0.000 0.276
H1 0.000 0.000 0.543
```

Its total energy is -5.33 eV/atom. The calculated volume comes out at 45 Å³/f.u. The value obtained for the total magnetization is 0.00 μB per formula unit.


Density functional theory data (GGA-PBE) for an optimized crystal structure of NbIn3H.

The structure in CIF format:
```
data_NbIn3H
_cell_length_a 4.485
_cell_length_b 4.485
_cell_length_c 4.485
_cell_angle_alpha 90.00
_cell_angle_beta 90.00
_cell_angle_gamma 90.00
_symmetry_space_group_name_H-M 'P m -3 m'
_symmetry_Int_Tables_number 221
_symmetry_space_group_name_Hall '-P 4 2 3'
loop_
_atom_site_label
_atom_site_fract_x
_atom_site_fract_y
_atom_site_fract_z
Nb1 0.000 0.000 0.000
In1 0.000 0.500 0.500
H1 0.500 0.500 0.500
```

Its total energy is -3.95 eV/atom. The calculated volume comes out at 90 Å³/f.u. The value obtained for the total magnetization is 0.92 μB per formula unit.


Density functional theory data (GGA-PBE) for an optimized crystal structure of Nb6InH.

The structure in CIF format:
```
data_Nb6InH
_cell_length_a 4.835
_cell_length_b 5.474
_cell_length_c 5.515
_cell_angle_alpha 96.01
_cell_angle_beta 90.90
_cell_angle_gamma 112.14
_symmetry_space_group_name_H-M 'P -1'
_symmetry_Int_Tables_number 2
_symmetry_space_group_name_Hall '-P 1'
loop_
_atom_site_label
_atom_site_fract_x
_atom_site_fract_y
_atom_site_fract_z
Nb1 0.071 0.152 0.297
Nb2 0.209 0.414 0.854
Nb3 0.382 0.720 0.429
In1 0.500 0.000 0.000
H1 0.000 0.500 0.500
```

Its total energy is -8.30 eV/atom. The calculated volume comes out at 134 Å³/f.u. The value obtained for the total magnetization is 0.00 μB per formula unit.


Density functional theory data (GGA-PBE) for an optimized crystal structure of Nb2InH2.

The structure in CIF format:
```
data_Nb2InH2
_cell_length_a 3.614
_cell_length_b 3.591
_cell_length_c 5.614
_cell_angle_alpha 90.00
_cell_angle_beta 107.94
_cell_angle_gamma 90.00
_symmetry_space_group_name_H-M 'P 1 m 1'
_symmetry_Int_Tables_number 6
_symmetry_space_group_name_Hall 'P -2y'
loop_
_atom_site_label
_atom_site_fract_x
_atom_site_fract_y
_atom_site_fract_z
Nb1 0.000 0.000 0.000
Nb2 0.335 0.500 0.710
In1 0.637 0.500 0.292
H1 0.423 0.000 0.841
H2 0.899 0.500 0.840
```

Its total energy is -5.88 eV/atom. The calculated volume comes out at 69 Å³/f.u. The value obtained for the total magnetization is 0.00 μB per formula unit.


Q: Look up the calculated volume of the first one.
A: 105 Å³/f.u.


Q: Among the records above, which one has the lowest calculated volume?
A: NbInH


Q: Number 4 is which compound?
A: NbIn3H